Cu4HgPd7 | PBE-GGA | relaxed

a b c (Å): 10.1700 4.9030 9.2868
angles (deg): 90.00 121.64 90.00
With the nearest neighbours (Å) after each atom.
Space group C2/m (No. 12)
Asymmetric unit:
Cu 0.0655 0.0000 0.2651 (multiplicity 4)  8 Pd 2.56-2.83, 1 Cu 2.59
Cu 0.2206 0.0000 0.8165 (multiplicity 4)  6 Pd 2.57-2.72, 1 Cu 2.59
Hg 0.0000 0.5000 0.5000 (multiplicity 2)  4 Pd 2.45-2.65
Pd 0.0000 0.0000 0.5000 (multiplicity 2)  2 Hg 2.45, 4 Cu 2.59-2.60, 2 Pd 2.60
Pd 0.0424 0.5000 0.8812 (multiplicity 4)  3 Cu 2.57-2.74, 5 Pd 2.62-2.84
Pd 0.1591 0.0000 0.0575 (multiplicity 4)  5 Cu 2.56-2.72, 4 Pd 2.78-2.84
Pd 0.2125 0.5000 0.4171 (multiplicity 4)  4 Cu 2.59-2.83, 4 Pd 2.60-2.78, 1 Hg 2.65

Calculated values
The theoretical density is 10.106 Mg/m³. The energy of formation from the pure elements comes out at 2.3 eV/f.u. As for the magnetization: 0.0 μB/f.u.